Here is a geometry-optimized TbHo2In structure from Alexandria via LeMat-Bulk. Energies are from PBE-GGA.

abc: 3.5700 3.5700 32.5876
angles: 90.00 90.00 120.00
Space group R3m (No. 160, hexagonal axes)
Asymmetric unit:
Tb1 0.0000 0.0000 0.0000 [3 per cell]
Ho1 0.0000 0.0000 0.5786 [3 per cell]
Ho2 0.0000 0.0000 0.7550 [3 per cell]
In1 0.0000 0.0000 0.1665 [3 per cell]

Output
Crystal system: trigonal
Raw total energy: -4.273 eV/atom
Energy above the lowest structure with this stoichiometry: 0.124 eV/atom
Energy of formation: -0.142 eV per atom

Here is a geometry-optimized PaVSb2 structure from Alexandria via LeMat-Bulk. Energies are from PBE-GGA.

abc: 3.472 3.472 7.261
angles: 90.00 90.00 90.00
Space group P4/mmm (No. 123)
Asymmetric unit:
Pa1 0.000 0.000 0.000 [1 per cell]
V1 0.000 0.000 0.500 [1 per cell]
Sb1 0.500 0.500 0.286 [2 per cell]

Output
Crystal system: tetragonal
Raw total energy: -6.747 eV/atom
Raw formation energy: -0.032 eV/atom
Energy above the lowest structure with this stoichiometry: 0.084 eV/atom

Here is a geometry-optimized RbNiRh3 structure from Alexandria via LeMat-Bulk. Energies are from PBE-GGA.

abc: 4.793 4.793 4.793
angles: 90.00 90.00 90.00
Space group Pm-3m (No. 221)
Asymmetric unit:
Rb1 0.000 0.000 0.000 [1 per cell]
Ni1 0.500 0.500 0.500 [1 per cell]
Rh1 0.000 0.000 0.500 [3 per cell]

Output
Crystal system: cubic
Raw total energy: -3.157 eV/atom
Energy above the lowest structure with this stoichiometry: 1.567 eV/atom
Energy of formation: 2.604 eV per atom

Here is a geometry-optimized Ac3Fe2N6 structure from Alexandria via LeMat-Bulk. Energies are from PBE-GGA.

abc: 3.943 3.943 20.759
angles: 90.00 90.00 90.00
Space group I4/mmm (No. 139)
Asymmetric unit:
Ac1 0.000 0.000 0.000 [2 per cell]
Ac2 0.000 0.000 0.178 [4 per cell]
Fe1 0.000 0.000 0.396 [4 per cell]
N1 0.000 0.000 0.308 [4 per cell]
N2 0.000 0.500 0.088 [8 per cell]

Output
Crystal system: tetragonal
Raw total energy: -7.825 eV/atom
Raw formation energy: -0.624 eV/atom

Here is a geometry-optimized CuP2SCl structure from Alexandria via LeMat-Bulk. Energies are from PBE-GGA.

abc: 4.582 4.582 4.812
angles: 90.00 90.00 90.00
Space group P4/mmm (No. 123)
Asymmetric unit:
Cu1 0.000 0.000 0.000 [1 per cell]
P1 0.000 0.500 0.500 [2 per cell]
S1 0.500 0.500 0.500 [1 per cell]
Cl1 0.500 0.500 0.000 [1 per cell]

Output
Crystal system: tetragonal
Raw total energy: -3.104 eV/atom
Raw formation energy: 1.074 eV/atom
Energy above the lowest structure with this stoichiometry: 0.229 eV/atom

Here is a geometry-optimized Ce2AsPIr6 structure from Alexandria via LeMat-Bulk. Energies are from PBE-GGA.

abc: 5.497 8.440 8.080
angles: 90.00 90.00 90.00
Space group Pmmn (No. 59, origin choice 2)
Asymmetric unit:
Ce1 0.250 0.002 0.227 [4 per cell]
As1 0.250 0.750 0.770 [2 per cell]
P1 0.250 0.250 0.749 [2 per cell]
Ir1 0.001 0.250 0.980 [4 per cell]
Ir2 0.003 0.750 0.490 [4 per cell]
Ir3 0.250 0.501 0.610 [4 per cell]

Output
Crystal system: orthorhombic
Raw total energy: -8.067 eV/atom
Energy of formation: -0.558 eV per atom

Here is a geometry-optimized Ba4AcTe5 structure from Alexandria via LeMat-Bulk. Energies are from PBE-GGA.

abc: 4.934 4.934 34.968
angles: 90.00 90.00 90.00
Space group I4/mmm (No. 139)
Asymmetric unit:
Ba1 0.000 0.000 0.099 [4 per cell]
Ba2 0.000 0.000 0.301 [4 per cell]
Ac1 0.000 0.000 0.500 [2 per cell]
Te1 0.000 0.000 0.000 [2 per cell]
Te2 0.000 0.000 0.200 [4 per cell]
Te3 0.000 0.000 0.404 [4 per cell]

Output
Crystal system: tetragonal
Raw total energy: -4.469 eV/atom
Raw formation energy: -1.718 eV/atom
Energy above the lowest structure with this stoichiometry: 0.007 eV/atom

Here is a geometry-optimized Pm2PrNd2 structure from Alexandria via LeMat-Bulk. Energies are from PBE-GGA.

abc: 10.019 8.011 9.476
angles: 90.00 112.23 90.00
Space group C2/c (No. 15)
Asymmetric unit:
Pm1 0.118 0.164 0.148 [8 per cell]
Pr1 0.000 0.221 0.750 [4 per cell]
Nd1 0.162 0.435 0.479 [8 per cell]

Output
Crystal system: monoclinic
Raw total energy: -4.650 eV/atom
Energy above the lowest structure with this stoichiometry: 0.017 eV/atom
Energy of formation: 0.113 eV per atom

Here is a geometry-optimized RbNa2TlGa structure from Alexandria via LeMat-Bulk. Energies are from PBE-GGA.

abc: 5.918 5.918 5.546
angles: 90.00 90.00 90.00
Space group P4/mmm (No. 123)
Asymmetric unit:
Rb1 0.000 0.000 0.000 [1 per cell]
Na1 0.000 0.500 0.500 [2 per cell]
Tl1 0.500 0.500 0.000 [1 per cell]
Ga1 0.500 0.500 0.500 [1 per cell]

Output
Crystal system: tetragonal
Raw total energy: -1.776 eV/atom
Energy above the lowest structure with this stoichiometry: 0.000 eV/atom
Energy of formation: 0.023 eV per atom

Here is a geometry-optimized K2LiHoI6 structure from Alexandria via LeMat-Bulk. Energies are from PBE-GGA.

abc: 8.131 8.533 14.093
angles: 90.00 124.74 90.00
Space group P2_1/c (No. 14)
Asymmetric unit:
K1 0.219 0.083 0.247 [4 per cell]
Li1 0.000 0.000 0.500 [2 per cell]
Ho1 0.500 0.000 0.000 [2 per cell]
I1 0.146 0.195 0.949 [4 per cell]
I2 0.261 0.701 0.952 [4 per cell]
I3 0.349 0.018 0.748 [4 per cell]

Output
Crystal system: monoclinic
Raw total energy: -3.182 eV/atom
Raw formation energy: -1.383 eV/atom

Here is a geometry-optimized ZnGa2Sn structure from Alexandria via LeMat-Bulk. Energies are from PBE-GGA.

abc: 3.7232 3.7232 21.8754
angles: 90.00 90.00 120.00
Space group R3m (No. 160, hexagonal axes)
Asymmetric unit:
Zn1 0.0000 0.0000 0.0000 [3 per cell]
Ga1 0.0000 0.0000 0.4076 [3 per cell]
Ga2 0.0000 0.0000 0.5937 [3 per cell]
Sn1 0.0000 0.0000 0.8359 [3 per cell]

Output
Crystal system: trigonal
Raw total energy: -2.706 eV/atom
Energy above the lowest structure with this stoichiometry: 0.070 eV/atom
Energy of formation: 0.127 eV per atom

Here is a geometry-optimized Ba3InHg3 structure from Alexandria via LeMat-Bulk. Energies are from PBE-GGA.

abc: 12.587 4.960 17.615
angles: 90.00 108.91 90.00
Space group C2/m (No. 12)
Asymmetric unit:
Ba1 0.035 0.000 0.392 [4 per cell]
Ba2 0.099 0.000 0.919 [4 per cell]
Ba3 0.249 0.000 0.237 [4 per cell]
In1 0.243 0.500 0.400 [4 per cell]
Hg1 0.037 0.500 0.236 [4 per cell]
Hg2 0.113 0.500 0.078 [4 per cell]
Hg3 0.134 0.500 0.544 [4 per cell]

Output
Crystal system: monoclinic
Raw total energy: -1.808 eV/atom
Energy of formation: -0.463 eV per atom

Here is a geometry-optimized Np2FeC4 structure from Alexandria via LeMat-Bulk. Energies are from PBE-GGA.

abc: 7.529 9.407 4.960
angles: 90.00 90.00 90.00
Space group Ibam (No. 72)
Asymmetric unit:
Np1 0.160 0.148 0.000 [8 per cell]
Fe1 0.000 0.500 0.250 [4 per cell]
C1 0.147 0.121 0.500 [8 per cell]
C2 0.172 0.419 0.000 [8 per cell]

Output
Crystal system: orthorhombic
Raw total energy: -10.130 eV/atom
Energy of formation: 0.048 eV per atom

Here is a geometry-optimized CuSn2Cl6 structure from Alexandria via LeMat-Bulk. Energies are from PBE-GGA.

abc: 6.739 8.059 11.559
angles: 90.00 124.12 90.00
Space group P2_1/c (No. 14)
Asymmetric unit:
Cu1 0.000 0.000 0.000 [2 per cell]
Sn1 0.211 0.126 0.691 [4 per cell]
Cl1 0.101 0.040 0.223 [4 per cell]
Cl2 0.221 0.647 0.039 [4 per cell]
Cl3 0.326 0.159 0.053 [4 per cell]

Output
Crystal system: monoclinic
Raw total energy: -3.395 eV/atom
Raw formation energy: -0.820 eV/atom
Energy above the lowest structure with this stoichiometry: 0.000 eV/atom

Here is a geometry-optimized TlTeBr6 structure from Alexandria via LeMat-Bulk. Energies are from PBE-GGA.

abc: 7.069 13.057 7.022
angles: 90.00 106.35 90.00
Space group C2/m (No. 12)
Asymmetric unit:
Tl1 0.000 0.000 0.000 [2 per cell]
Te1 0.000 0.500 0.500 [2 per cell]
Br1 0.220 0.348 0.727 [8 per cell]
Br2 0.247 0.500 0.262 [4 per cell]

Output
Crystal system: monoclinic
Raw total energy: -2.323 eV/atom
Raw formation energy: -0.379 eV/atom
Energy above the lowest structure with this stoichiometry: 0.000 eV/atom

Here is a geometry-optimized YLuGa4 structure from Alexandria via LeMat-Bulk. Energies are from PBE-GGA.

abc: 7.746 7.746 7.746
angles: 90.00 90.00 90.00
Space group F-43m (No. 216)
Asymmetric unit:
Y1 0.000 0.000 0.000 [4 per cell]
Lu1 0.250 0.250 0.750 [4 per cell]
Ga1 0.125 0.125 0.375 [16 per cell]

Output
Crystal system: cubic
Raw total energy: -4.377 eV/atom
Energy of formation: -0.528 eV per atom

Here is a geometry-optimized FeSi2Au structure from Alexandria via LeMat-Bulk. Energies are from PBE-GGA.

abc: 5.379 8.393 3.222
angles: 90.00 122.55 90.00
Space group C2/m (No. 12)
Asymmetric unit:
Fe1 0.000 0.000 0.000 [2 per cell]
Si1 0.250 0.250 0.000 [4 per cell]
Au1 0.000 0.500 0.000 [2 per cell]

Output
Crystal system: monoclinic
Raw total energy: -5.373 eV/atom
Raw formation energy: 0.274 eV/atom
Energy above the lowest structure with this stoichiometry: 0.355 eV/atom

Here is a geometry-optimized InSe5 structure from Alexandria via LeMat-Bulk. Energies are from PBE-GGA.

abc: 5.693 14.860 3.853
angles: 90.00 90.00 90.00
Space group Cmmm (No. 65)
Asymmetric unit:
In1 0.000 0.000 0.000 [2 per cell]
Se1 0.000 0.248 0.500 [4 per cell]
Se2 0.000 0.362 0.000 [4 per cell]
Se3 0.000 0.500 0.500 [2 per cell]

Output
Crystal system: orthorhombic
Raw total energy: -3.303 eV/atom
Raw formation energy: 0.058 eV/atom
Energy above the lowest structure with this stoichiometry: 0.128 eV/atom

Here is a geometry-optimized KBi2Se3 structure from Alexandria via LeMat-Bulk. Energies are from PBE-GGA.

abc: 11.824 11.256 7.117
angles: 90.00 90.00 90.00
Space group Cmcm (No. 63)
Asymmetric unit:
K1 0.000 0.122 0.250 [4 per cell]
Bi1 0.184 0.500 0.000 [8 per cell]
Se1 0.000 0.410 0.750 [4 per cell]
Se2 0.181 0.132 0.750 [8 per cell]

Output
Crystal system: orthorhombic
Raw total energy: -3.602 eV/atom
Raw formation energy: -0.383 eV/atom

Here is a geometry-optimized LiCuPO4 structure from Alexandria via LeMat-Bulk. Energies are from PBE-GGA.

abc: 4.877 9.285 7.584
angles: 90.00 122.47 90.00
Space group P2_1/c (No. 14)
Asymmetric unit:
Li1 0.150 0.147 0.174 [4 per cell]
Cu1 0.000 0.000 0.500 [2 per cell]
Cu2 0.500 0.000 0.000 [2 per cell]
P1 0.361 0.674 0.826 [4 per cell]
O1 0.061 0.656 0.845 [4 per cell]
O2 0.273 0.593 0.621 [4 per cell]
O3 0.318 0.118 0.482 [4 per cell]
O4 0.412 0.662 0.306 [4 per cell]

Output
Crystal system: monoclinic
Raw total energy: -6.254 eV/atom
Raw formation energy: -1.789 eV/atom
Energy above the lowest structure with this stoichiometry: 0.017 eV/atom

Here is a geometry-optimized HfTh2Ru structure from Alexandria via LeMat-Bulk. Energies are from PBE-GGA.

abc: 3.3198 3.3198 31.7790
angles: 90.00 90.00 120.00
Space group R-3m (No. 166, hexagonal axes)
Asymmetric unit:
Hf1 0.0000 0.0000 0.0000 [3 per cell]
Th1 0.0000 0.0000 0.0966 [6 per cell]
Ru1 0.0000 0.0000 0.5000 [3 per cell]

Output
Crystal system: trigonal
Raw total energy: -8.136 eV/atom
Energy of formation: 0.381 eV per atom

Here is a geometry-optimized BeInTe2 structure from Alexandria via LeMat-Bulk. Energies are from PBE-GGA.

abc: 7.333 7.333 7.333
angles: 90.00 90.00 90.00
Space group Fm-3m (No. 225)
Asymmetric unit:
Be1 0.000 0.000 0.000 [4 per cell]
In1 0.000 0.000 0.500 [4 per cell]
Te1 0.250 0.250 0.250 [8 per cell]

Output
Crystal system: cubic
Raw total energy: -2.723 eV/atom
Raw formation energy: 0.464 eV/atom
Energy above the lowest structure with this stoichiometry: 0.641 eV/atom

Here is a geometry-optimized AlOsRu2 structure from Alexandria via LeMat-Bulk. Energies are from PBE-GGA.

abc: 2.778 3.730 5.433
angles: 90.00 90.00 90.00
Space group Pmmm (No. 47)
Asymmetric unit:
Al1 0.000 0.000 0.000 [1 per cell]
Os1 0.000 0.000 0.500 [1 per cell]
Ru1 0.500 0.500 0.251 [2 per cell]

Output
Crystal system: orthorhombic
Raw total energy: -8.504 eV/atom
Energy of formation: -0.123 eV per atom